1:
A geometry-optimized AcSm4Tm structure, computed with PBE.

abc: 10.6016 10.6016 5.9913
angles: 90.04 90.04 140.88
Element x y z (fractional)
Ac 0.0542 0.9458 0.7500
Ac 0.9458 0.0542 0.2500
Sm 0.0459 0.4652 0.2499
Sm 0.1437 0.3704 0.7499
Sm 0.3704 0.1437 0.2499
Sm 0.4652 0.0459 0.7499
Sm 0.5348 0.9541 0.2501
Sm 0.6296 0.8563 0.7501
Sm 0.8563 0.6296 0.2501
Sm 0.9541 0.5348 0.7501
Tm 0.4492 0.5508 0.2500
Tm 0.5508 0.4492 0.7500

Properties
Space group: No. 15


2:
A geometry-optimized AcSm4Tm structure, computed with PBE.

abc: 5.7726 5.7726 7.1363
angles: 90.00 90.00 119.81
Element x y z (fractional)
Ac 0.0000 0.0000 0.0000
Sm 0.3334 0.6666 0.2604
Sm 0.3334 0.6666 0.7396
Sm 0.6666 0.3334 0.2604
Sm 0.6666 0.3334 0.7396
Tm 0.0000 0.0000 0.5000

Properties
Space group: No. 65


Quick one: most stable of them? 2


1:
A geometry-optimized AcSm12Tm7 structure, computed with PBE.

abc: 9.9902 9.9902 9.9902
angles: 109.47 109.47 109.47
Element x y z (fractional)
Ac 0.0000 0.0000 0.0000
Sm 0.0009 0.2711 0.7298
Sm 0.2702 0.5413 0.2711
Sm 0.2702 0.9991 0.7289
Sm 0.2711 0.2702 0.5413
Sm 0.2711 0.7298 0.0009
Sm 0.4587 0.7289 0.7298
Sm 0.5413 0.2711 0.2702
Sm 0.7289 0.2702 0.9991
Sm 0.7289 0.7298 0.4587
Sm 0.7298 0.0009 0.2711
Sm 0.7298 0.4587 0.7289
Sm 0.9991 0.7289 0.2702
Tm 0.0000 0.0000 0.5000
Tm 0.0000 0.5000 0.0000
Tm 0.0000 0.5000 0.5000
Tm 0.5000 0.0000 0.0000
Tm 0.5000 0.0000 0.5000
Tm 0.5000 0.5000 0.0000
Tm 0.5000 0.5000 0.5000

Properties
Space group: No. 204


2:
A geometry-optimized AcSm12Tm7 structure, computed with PBE.

abc: 8.7626 8.7626 8.7626
angles: 88.48 88.48 88.48
Element x y z (fractional)
Ac 0.0000 0.0000 0.0000
Sm 0.1403 0.7211 0.2748
Sm 0.1410 0.4961 0.6252
Sm 0.2748 0.1403 0.7211
Sm 0.2789 0.7252 0.8597
Sm 0.3748 0.8590 0.5039
Sm 0.4961 0.6252 0.1410
Sm 0.5039 0.3748 0.8590
Sm 0.6252 0.1410 0.4961
Sm 0.7211 0.2748 0.1403
Sm 0.7252 0.8597 0.2789
Sm 0.8590 0.5039 0.3748
Sm 0.8597 0.2789 0.7252
Tm 0.0595 0.1540 0.3876
Tm 0.1540 0.3876 0.0595
Tm 0.3876 0.0595 0.1540
Tm 0.5000 0.5000 0.5000
Tm 0.6124 0.9405 0.8460
Tm 0.8460 0.6124 0.9405
Tm 0.9405 0.8460 0.6124

Properties
Space group: No. 148


Quick one: most stable of them? 2